[1]
# Ti2PH

A geometry-optimized Ti2PH structure (PBE, Alexandria via LeMat-Bulk).

Symmetry   R3m, No. 160
Raw total energy   -0.242 Ha/atom
Magnetization   2.63 μB per cell

Cell and atoms, written as POSCAR:
```
Ti2PH
1.0
3.312 0.000 0.000
-1.656 2.868 0.000
0.000 0.000 16.873
Ti P H
6 3 3
Direct
0.000 0.000 0.000 Ti
0.000 0.000 0.160 Ti
0.333 0.667 0.667 Ti
0.333 0.667 0.827 Ti
0.667 0.333 0.333 Ti
0.667 0.333 0.493 Ti
0.000 0.000 0.581 P
0.333 0.667 0.247 P
0.667 0.333 0.914 P
0.000 0.000 0.761 H
0.333 0.667 0.428 H
0.667 0.333 0.094 H
```


[2]
# Ti2PH2

A geometry-optimized Ti2PH2 structure (PBE, Alexandria via LeMat-Bulk).

Symmetry   I4/mmm, No. 139
Raw total energy   -0.229 Ha/atom
E above lowest polymorph   0 meV per atom
Magnetization   0.00 μB per cell

Cell and atoms, written as POSCAR:
```
Ti2PH2
1.0
3.093 0.000 0.000
0.000 3.093 0.000
0.000 0.000 10.514
Ti P H
4 2 4
Direct
0.000 0.000 0.131 Ti
0.000 0.000 0.869 Ti
0.500 0.500 0.369 Ti
0.500 0.500 0.631 Ti
0.000 0.000 0.500 P
0.500 0.500 0.000 P
0.000 0.500 0.250 H
0.000 0.500 0.750 H
0.500 0.000 0.250 H
0.500 0.000 0.750 H
```


[3]
# TiPH

A geometry-optimized TiPH structure (PBE, Alexandria via LeMat-Bulk).

Symmetry   P4/nmm, No. 129
Raw total energy   -0.231 Ha/atom
E above lowest polymorph   93 meV per atom
Magnetization   0.00 μB per cell

Cell and atoms, written as POSCAR:
```
TiPH
1.0
3.210 0.000 0.000
0.000 3.210 0.000
0.000 0.000 6.023
Ti P H
2 2 2
Direct
0.250 0.250 0.195 Ti
0.750 0.750 0.805 Ti
0.250 0.250 0.618 P
0.750 0.750 0.382 P
0.250 0.750 0.000 H
0.750 0.250 0.000 H
```


[4]
# Ti6PH3

A geometry-optimized Ti6PH3 structure (PBE, Alexandria via LeMat-Bulk).

Symmetry   P2_1/m, No. 11
Raw total energy   -0.247 Ha/atom
Magnetization   0.00 μB per cell

Cell and atoms, written as POSCAR:
```
Ti6PH3
1.0
9.260 0.000 0.000
0.000 3.114 0.000
-4.352 0.000 8.287
Ti P H
12 2 6
Direct
0.054 0.250 0.149 Ti
0.143 0.250 0.713 Ti
0.189 0.750 0.465 Ti
0.280 0.750 0.073 Ti
0.401 0.250 0.368 Ti
0.429 0.750 0.860 Ti
0.571 0.250 0.140 Ti
0.599 0.750 0.632 Ti
0.720 0.250 0.927 Ti
0.811 0.250 0.535 Ti
0.857 0.750 0.287 Ti
0.946 0.750 0.851 Ti
0.403 0.250 0.649 P
0.597 0.750 0.351 P
0.029 0.250 0.345 H
0.227 0.750 0.264 H
0.345 0.250 0.951 H
0.655 0.750 0.049 H
0.773 0.250 0.736 H
0.971 0.750 0.655 H
```


[5]
# Ti2PH

A geometry-optimized Ti2PH structure (PBE, Alexandria via LeMat-Bulk).

Symmetry   I-42d, No. 122
Raw total energy   -0.251 Ha/atom
Magnetization   0.00 μB per cell

Cell and atoms, written as POSCAR:
```
Ti2PH
1.0
5.823 0.000 0.000
0.000 5.823 0.000
0.000 0.000 5.687
Ti P H
8 4 4
Direct
0.170 0.250 0.125 Ti
0.250 0.670 0.375 Ti
0.250 0.830 0.875 Ti
0.330 0.250 0.625 Ti
0.670 0.750 0.625 Ti
0.750 0.170 0.875 Ti
0.750 0.330 0.375 Ti
0.830 0.750 0.125 Ti
0.000 0.000 0.500 P
0.000 0.500 0.750 P
0.500 0.000 0.250 P
0.500 0.500 0.000 P
0.000 0.000 0.000 H
0.000 0.500 0.250 H
0.500 0.000 0.750 H
0.500 0.500 0.500 H
```


[6]
# Ti3P2H

A geometry-optimized Ti3P2H structure (PBE, Alexandria via LeMat-Bulk).

Symmetry   C2/c, No. 15
Raw total energy   -0.260 Ha/atom
E above lowest polymorph   254 meV per atom
Magnetization   0.00 μB per cell

Cell and atoms, written as POSCAR:
```
Ti3P2H
1.0
5.370 -2.424 0.000
5.370 2.424 0.000
-2.239 0.000 6.563
Ti P H
6 4 2
Direct
0.051 0.949 0.750 Ti
0.326 0.328 0.913 Ti
0.328 0.326 0.413 Ti
0.672 0.674 0.587 Ti
0.674 0.672 0.087 Ti
0.949 0.051 0.250 Ti
0.164 0.165 0.082 P
0.165 0.164 0.582 P
0.835 0.836 0.418 P
0.836 0.835 0.918 P
0.457 0.543 0.750 H
0.543 0.457 0.250 H
```


[7]
# ZrTiP2H

A geometry-optimized ZrTiP2H structure (PBE, Alexandria via LeMat-Bulk).

Symmetry   P4/mmm, No. 123
Raw total energy   -0.183 Ha/atom
Magnetization   0.60 μB per cell

Cell and atoms, written as POSCAR:
```
ZrTiP2H
1.0
4.928 0.000 0.000
0.000 4.928 0.000
0.000 0.000 5.240
Zr Ti P H
1 1 2 1
Direct
0.000 0.000 0.000 Zr
0.000 0.000 0.500 Ti
0.000 0.500 0.000 P
0.500 0.000 0.000 P
0.500 0.500 0.500 H
```


[8]
# TlPH6

A geometry-optimized TlPH6 structure (PBE, Alexandria via LeMat-Bulk).

Symmetry   R-3m, No. 166
Raw total energy   -0.120 Ha/atom
Magnetization   0.00 μB per cell

Cell and atoms, written as POSCAR:
```
TlPH6
1.0
2.335 1.348 4.456
-2.335 1.348 4.456
0.000 -2.696 4.456
Tl P H
1 1 6
Direct
0.000 0.000 0.000 Tl
0.500 0.500 0.500 P
0.131 0.587 0.587 H
0.413 0.413 0.869 H
0.413 0.869 0.413 H
0.587 0.131 0.587 H
0.587 0.587 0.131 H
0.869 0.413 0.413 H
```


[9]
# TlP2H4

A geometry-optimized TlP2H4 structure (PBE, Alexandria via LeMat-Bulk).

Symmetry   P1, No. 1
Raw total energy   -0.137 Ha/atom
Magnetization   0.00 μB per cell

Cell and atoms, written as POSCAR:
```
TlP2H4
1.0
3.933 0.000 0.000
-1.252 5.900 0.000
-1.758 -2.691 5.411
Tl P H
1 2 4
Direct
0.000 0.000 0.000 Tl
0.064 0.534 0.281 P
0.591 0.697 0.219 P
0.232 0.685 0.544 H
0.417 0.515 0.966 H
0.660 0.296 0.687 H
0.698 0.273 0.571 H
```


[10]
# TlP3H2

A geometry-optimized TlP3H2 structure (PBE, Alexandria via LeMat-Bulk).

Symmetry   C2/c, No. 15
Raw total energy   -0.149 Ha/atom
Magnetization   0.00 μB per cell

Cell and atoms, written as POSCAR:
```
TlP3H2
1.0
4.856 -6.087 0.000
4.856 6.087 0.000
-1.393 0.000 3.819
Tl P H
2 6 4
Direct
0.160 0.840 0.750 Tl
0.840 0.160 0.250 Tl
0.155 0.438 0.048 P
0.438 0.155 0.548 P
0.456 0.544 0.250 P
0.544 0.456 0.750 P
0.562 0.845 0.452 P
0.845 0.562 0.952 P
0.148 0.480 0.407 H
0.480 0.148 0.907 H
0.520 0.852 0.093 H
0.852 0.520 0.593 H
```


[11]
# Tl2PH

A geometry-optimized Tl2PH structure (PBE, Alexandria via LeMat-Bulk).

Symmetry   Fm-3m, No. 225
Raw total energy   -0.105 Ha/atom
E above lowest polymorph   89 meV per atom
Magnetization   0.00 μB per cell

Cell and atoms, written as POSCAR:
```
Tl2PH
1.0
6.883 0.000 0.000
0.000 6.883 0.000
0.000 0.000 6.883
Tl P H
8 4 4
Direct
0.250 0.250 0.250 Tl
0.250 0.250 0.750 Tl
0.250 0.750 0.250 Tl
0.250 0.750 0.750 Tl
0.750 0.250 0.250 Tl
0.750 0.250 0.750 Tl
0.750 0.750 0.250 Tl
0.750 0.750 0.750 Tl
0.000 0.000 0.000 P
0.000 0.500 0.500 P
0.500 0.000 0.500 P
0.500 0.500 0.000 P
0.000 0.000 0.500 H
0.000 0.500 0.000 H
0.500 0.000 0.000 H
0.500 0.500 0.500 H
```


[12]
# Tl12P3H5

A geometry-optimized Tl12P3H5 structure (PBE, Alexandria via LeMat-Bulk).

Symmetry   Ia-3d, No. 230
Raw total energy   -0.102 Ha/atom
Magnetization   0.00 μB per cell

Cell and atoms, written as POSCAR:
```
Tl12P3H5
1.0
-7.886 7.886 7.886
7.886 -7.886 7.886
7.886 7.886 -7.886
Tl P H
48 12 20
Direct
0.026 0.207 0.119 Tl
0.026 0.319 0.907 Tl
0.088 0.707 0.681 Tl
0.088 0.881 0.407 Tl
0.093 0.619 0.412 Tl
0.093 0.974 0.681 Tl
0.119 0.026 0.207 Tl
0.119 0.593 0.912 Tl
0.181 0.207 0.588 Tl
0.181 0.474 0.593 Tl
0.207 0.119 0.026 Tl
0.207 0.588 0.181 Tl
0.293 0.319 0.912 Tl
0.293 0.474 0.381 Tl
0.319 0.907 0.026 Tl
0.319 0.912 0.293 Tl
0.381 0.293 0.474 Tl
0.381 0.588 0.907 Tl
0.407 0.088 0.881 Tl
0.407 0.819 0.526 Tl
0.412 0.093 0.619 Tl
0.412 0.819 0.793 Tl
0.474 0.381 0.293 Tl
0.474 0.593 0.181 Tl
0.526 0.407 0.819 Tl
0.526 0.619 0.707 Tl
0.588 0.181 0.207 Tl
0.588 0.907 0.381 Tl
0.593 0.181 0.474 Tl
0.593 0.912 0.119 Tl
0.619 0.412 0.093 Tl
0.619 0.707 0.526 Tl
0.681 0.088 0.707 Tl
0.681 0.093 0.974 Tl
0.707 0.526 0.619 Tl
0.707 0.681 0.088 Tl
0.793 0.412 0.819 Tl
0.793 0.881 0.974 Tl
0.819 0.526 0.407 Tl
0.819 0.793 0.412 Tl
0.881 0.407 0.088 Tl
0.881 0.974 0.793 Tl
0.907 0.026 0.319 Tl
0.907 0.381 0.588 Tl
0.912 0.119 0.593 Tl
0.912 0.293 0.319 Tl
0.974 0.681 0.093 Tl
0.974 0.793 0.881 Tl
0.125 0.250 0.375 P
0.125 0.375 0.750 P
0.250 0.375 0.125 P
0.250 0.875 0.625 P
0.375 0.125 0.250 P
0.375 0.750 0.125 P
0.625 0.250 0.875 P
0.625 0.875 0.750 P
0.750 0.125 0.375 P
0.750 0.625 0.875 P
0.875 0.625 0.250 P
0.875 0.750 0.625 P
0.000 0.000 0.000 H
0.000 0.000 0.500 H
0.000 0.500 0.000 H
0.000 0.500 0.500 H
0.125 0.750 0.875 H
0.125 0.875 0.250 H
0.250 0.125 0.875 H
0.250 0.625 0.375 H
0.375 0.250 0.625 H
0.375 0.625 0.750 H
0.500 0.000 0.000 H
0.500 0.000 0.500 H
0.500 0.500 0.000 H
0.500 0.500 0.500 H
0.625 0.375 0.250 H
0.625 0.750 0.375 H
0.750 0.375 0.625 H
0.750 0.875 0.125 H
0.875 0.125 0.750 H
0.875 0.250 0.125 H
```